An optimized crystal structure of BaU4Cu3Te12, computed with PBE.

Results
The calculation puts the total energy at -211.2 eV/cell. For the spin magnetization, the calculation gives 5.039 μB per formula unit. Its calculated volume is 1329 Å³ per cell. Its uncorrected formation energy is -0.426 eV/atom.

Cell: 10.9942 10.9942 10.9942 Å, 90.00 90.00 90.00°
With the nearest neighbours (Å) after each atom.
Space group Im-3 (No. 204)
Symmetry-distinct sites (fractional):
Ba  0.0000  0.0000  0.0000 [2 per cell]  12 Te 3.94
U  0.2500  0.2500  0.2500 [8 per cell]  6 Te 3.00
Cu  0.0000  0.0000  0.5000 [6 per cell]  4 Te 2.70
Te  0.0000  0.3182  0.1655 [24 per cell]  1 Cu 2.70, 2 U 3.00

---

An optimized crystal structure of TbPuV4, computed with PBE.

Results
The calculation puts the total energy at -213.5 eV/cell. For the spin magnetization, the calculation gives 3.949 μB per formula unit. Its calculated volume is 424 Å³ per cell. The calculation puts the formation energy at 32.97 kJ per mole of atoms.

Cell: 7.5127 7.5127 7.5127 Å, 90.00 90.00 90.00°
With the nearest neighbours (Å) after each atom.
Space group F-43m (No. 216)
Symmetry-distinct sites (fractional):
Tb  0.0000  0.0000  0.0000 [4 per cell]  12 V 3.12, 4 Pu 3.25
Pu  0.2500  0.2500  0.2500 [4 per cell]  12 V 3.11, 4 Tb 3.25
V  0.1224  0.1224  0.6224 [16 per cell]  6 V 2.60-2.71

---

An optimized crystal structure of SrTb2YS4, computed with PBE.

Results
The calculation puts the total energy at -49.9 eV/cell. For the spin magnetization, the calculation gives 0.000 μB per formula unit. Its calculated volume is 181 Å³ per cell. Its uncorrected formation energy is -2.002 eV/atom.

Cell: 6.9349 3.9764 6.9353 Å, 90.00 109.09 90.00°
With the nearest neighbours (Å) after each atom.
Space group P2/m (No. 10)
Symmetry-distinct sites (fractional):
Sr  0.0000  0.0000  0.0000 [1 per cell]  6 S 2.88-2.89
Tb  0.0000  0.5000  0.5000 [1 per cell]  6 S 2.83
Tb  0.5000  0.0000  0.5000 [1 per cell]  6 S 2.76-2.77
Y  0.5000  0.5000  0.0000 [1 per cell]  6 S 2.82-2.83
S  0.2555  0.0000  0.7455 [2 per cell]  3 Tb 2.77-2.83, 2 Y 2.83, 1 Sr 2.88
S  0.2617  0.5000  0.2612 [2 per cell]  3 Tb 2.76-2.83, 1 Y 2.82, 2 Sr 2.89

---

An optimized crystal structure of GeB3W, computed with PBE.

Results
As for the energy above the most stable polymorph in this dataset: 0.000 eV per atom. The calculation puts the total energy at -31.0 eV/cell. For the spin magnetization, the calculation gives 0.000 μB per formula unit. Its calculated volume is 75 Å³ per cell. The calculation puts the formation energy at 128.25 kJ per mole of atoms.

Cell: 4.2174 4.2174 4.2174 Å, 90.00 90.00 90.00°
With the nearest neighbours (Å) after each atom.
Space group Pm-3m (No. 221)
Symmetry-distinct sites (fractional):
Ge  0.0000  0.0000  0.0000 [1 per cell]  12 B 2.98
B  0.0000  0.5000  0.5000 [3 per cell]  2 W 2.11
W  0.5000  0.5000  0.5000 [1 per cell]  6 B 2.11